(1)
Below is an optimized crystal structure of CePm8Sm4, with properties calculated at the GGA-PBE level.

The formation energy is 0.490 eV per atom. The value obtained for the total DFT energy (no corrections) is -56.4 eV/f.u.

It has space group R-3m (No. 166, hexagonal axes), with a = 11.2524 Å, b = 11.2524 Å, c = 13.4541 Å, α = 90.00°, β = 90.00° and γ = 120.00°. The distinct sites, in fractional coordinates, are Ce at (0.0000, 0.0000, 0.0000), Pm at (0.0000, 0.0000, 0.2604), Pm at (0.0098, 0.5049, 0.2425), Sm at (0.0000, 0.0000, 0.5000) and Sm at (0.0000, 0.5000, 0.5000).

(2)
Below is an optimized crystal structure of Pu2Cd5Au4, with properties calculated at the GGA-PBE level.

The formation energy is -0.133 eV per atom. The value obtained for the total DFT energy (no corrections) is -47.8 eV/f.u.

It has space group Fmmm (No. 69), with a = 5.711 Å, b = 12.147 Å, c = 16.087 Å, α = 90.00°, β = 90.00° and γ = 90.00°. The distinct sites, in fractional coordinates, are Pu at (0.000, 0.000, 0.177), Cd at (0.000, 0.000, 0.500), Cd at (0.250, 0.250, 0.000), Cd at (0.250, 0.250, 0.250) and Au at (0.000, 0.121, 0.360).

(3)
Below is an optimized crystal structure of LiCo2Ir, with properties calculated at the GGA-PBE level.

The formation energy is 0.169 eV per atom. The value obtained for the total DFT energy (no corrections) is -24.3 eV/f.u.

It has space group R-3m (No. 166, hexagonal axes), with a = 2.6269 Å, b = 2.6269 Å, c = 26.0612 Å, α = 90.00°, β = 90.00° and γ = 120.00°. The distinct sites, in fractional coordinates, are Li at (0.0000, 0.0000, 0.0000), Co at (0.0000, 0.0000, 0.2481) and Ir at (0.0000, 0.0000, 0.5000).

(4)
Below is an optimized crystal structure of Ca3LaP, with properties calculated at the GGA-PBE level.

The formation energy is 1.164 eV per atom. The value obtained for the total DFT energy (no corrections) is -10.5 eV/f.u. The calculation puts the distance to the lowest polymorph of the same formula at 1.4598 eV per atom.

It has space group Pm-3m (No. 221), with a = 5.620 Å, b = 5.620 Å, c = 5.620 Å, α = 90.00°, β = 90.00° and γ = 90.00°. The distinct sites, in fractional coordinates, are Ca at (0.000, 0.000, 0.500), La at (0.000, 0.000, 0.000) and P at (0.500, 0.500, 0.500).

(5)
Below is an optimized crystal structure of BaFeCu2, with properties calculated at the GGA-PBE level.

The formation energy is 0.998 eV per atom. The value obtained for the total DFT energy (no corrections) is -14.6 eV/f.u.

It has space group Fm-3m (No. 225), with a = 6.869 Å, b = 6.869 Å, c = 6.869 Å, α = 90.00°, β = 90.00° and γ = 90.00°. The distinct sites, in fractional coordinates, are Ba at (0.000, 0.000, 0.000), Fe at (0.000, 0.000, 0.500) and Cu at (0.250, 0.250, 0.250).

(6)
Below is an optimized crystal structure of KTa2Te4, with properties calculated at the GGA-PBE level.

The value obtained for the total DFT energy (no corrections) is -41.1 eV/f.u.

It has space group C2/m (No. 12), with a = 18.213 Å, b = 3.639 Å, c = 6.645 Å, α = 90.00°, β = 103.66° and γ = 90.00°. The distinct sites, in fractional coordinates, are K at (0.000, 0.000, 0.000), Ta at (0.246, 0.500, 0.681), Te at (0.131, 0.000, 0.507) and Te at (0.167, 0.500, 0.017).

(7)
Below is an optimized crystal structure of Sm2ZnTe, with properties calculated at the GGA-PBE level.

The value obtained for the total DFT energy (no corrections) is -17.0 eV/f.u. The calculation puts the distance to the lowest polymorph of the same formula at 0.0310 eV per atom.

It has space group R-3m (No. 166, hexagonal axes), with a = 4.2189 Å, b = 4.2189 Å, c = 22.6907 Å, α = 90.00°, β = 90.00° and γ = 120.00°. The distinct sites, in fractional coordinates, are Sm at (0.0000, 0.0000, 0.2476), Zn at (0.0000, 0.0000, 0.5000) and Te at (0.0000, 0.0000, 0.0000).

(8)
Below is an optimized crystal structure of NaHgSe3, with properties calculated at the GGA-PBE level.

The value obtained for the total DFT energy (no corrections) is -9.0 eV/f.u. The calculation puts the distance to the lowest polymorph of the same formula at 0.4550 eV per atom.

It has space group Pm-3m (No. 221), with a = 5.298 Å, b = 5.298 Å, c = 5.298 Å, α = 90.00°, β = 90.00° and γ = 90.00°. The distinct sites, in fractional coordinates, are Na at (0.000, 0.000, 0.000), Hg at (0.500, 0.500, 0.500) and Se at (0.000, 0.000, 0.500).

Size of the total moment (μB/f.u.)
1.451 11.978 3.353 0.000 0.078 0.000 0.000 3.053